Computed, not measured: crystalline ZnReIO2 at its relaxed geometry at the PBE-GGA level of DFT.

Cell and atoms, written as POSCAR:
```
ZnReIO2
1.0
3.941 0.000 0.000
0.000 3.941 0.000
0.000 0.000 6.038
Zn Re I O
1 1 1 2
direct
0.000 0.000 0.000 Zn
0.500 0.500 0.500 Re
0.000 0.000 0.500 I
0.000 0.500 0.000 O
0.500 0.000 0.000 O
```

The value obtained for the volume is 93.8 Å³/cell. As for the density of states at the Fermi level: 1.764 states/eV/f.u. The calculation puts the energy relative to the elements, uncorrected at 0.843 eV per atom. The calculated density comes out at 7.27 g/cm3.


Computed, not measured: crystalline ZnReI2O at its relaxed geometry at the PBE-GGA level of DFT.

Cell and atoms, written as POSCAR:
```
ZnReI2O
1.0
5.740 0.000 0.000
0.000 5.740 0.000
0.000 0.000 3.583
Zn Re I O
1 1 2 1
direct
0.000 0.000 0.000 Zn
0.500 0.500 0.500 Re
0.000 0.500 0.000 I
0.500 0.000 0.000 I
0.000 0.000 0.500 O
```

The value obtained for the volume is 118.1 Å³/cell. As for the density of states at the Fermi level: 6.018 states/eV/f.u. The calculation puts the energy relative to the elements, uncorrected at 0.823 eV per atom. The calculated density comes out at 7.33 g/cm3.


Question: Which value of energy relative to the elements, uncorrected does entry 1 give?
Answer: 0.843 eV per atom


Question: The highest calculated density belongs to which entry?
Answer: ZnReI2O